AlAs2SeO | PBE | relaxed

## Properties
Space group: P4/mmm (123)
Raw formation energy (eV per atom): 0.287

The structure in POSCAR format:
```
AlAs2SeO
1.0
-3.888 -1.674 0.469
1.170 -3.370 -2.327
1.470 -2.281 4.042
As Al O Se
2 1 1 1
Cartesian
-1.944 -0.837 0.235
0.585 -1.685 -1.164
-0.624 -3.663 1.092
0.000 0.000 0.000
0.735 -1.141 2.021
```